LiPaNi2O6, optimized geometry, DFT PBE+U; crystal system = monoclinic; calculated volume = 11.66 A^3/atom; space group = P2_1/c (14); E_tot = -6.337 eV per atom
1.0
-4.6646 2.3257 0.7840
-2.6791 -5.0247 -1.0347
0.1181 -1.6033 7.4802
Ni O Li Pa
4 12 2 2
direct
0.5290 0.4612 0.1966
0.4710 0.5388 0.8034
0.0290 0.0388 0.6966
0.9710 0.9612 0.3034
0.1646 0.1192 0.1168
0.8354 0.8808 0.8832
0.6646 0.3808 0.6168
0.6564 0.3534 0.9661
0.3354 0.6192 0.3832
0.6441 0.1230 0.2608
0.3436 0.6466 0.0339
0.8436 0.8534 0.5339
0.8559 0.6230 0.2392
0.1441 0.3770 0.7608
0.3559 0.8770 0.7392
0.1564 0.1466 0.4661
0.5000 0.0000 0.5000
0.0000 0.5000 0.0000
0.0000 0.5000 0.5000
0.5000 0.0000 0.0000